Entry 1:
A plane-wave DFT calculation with PBE-GGA was carried out for a relaxed LiPaSnRu crystal.

Properties
The calculation puts the density of states at the Fermi level at 3.428 states/eV per cell. For the energy of formation, the calculation gives -354 meV per atom.

abc: 6.699 6.699 6.699
angles: 90.00 90.00 90.00
Sites, in units of the cell vectors:
Li 0.000 0.000 0.000
Li 0.000 0.500 0.500
Li 0.500 0.000 0.500
Li 0.500 0.500 0.000
Pa 0.250 0.250 0.750
Pa 0.250 0.750 0.250
Pa 0.750 0.250 0.250
Pa 0.750 0.750 0.750
Sn 0.250 0.250 0.250
Sn 0.250 0.750 0.750
Sn 0.750 0.250 0.750
Sn 0.750 0.750 0.250
Ru 0.000 0.000 0.500
Ru 0.000 0.500 0.000
Ru 0.500 0.000 0.000
Ru 0.500 0.500 0.500

Entry 2:
A plane-wave DFT calculation with PBE-GGA was carried out for a relaxed LiPaTcRu crystal.

Properties
The calculation puts the density of states at the Fermi level at 13.669 states/eV per cell. For the energy of formation, the calculation gives -172 meV per atom.

abc: 6.394 6.394 6.394
angles: 90.00 90.00 90.00
Sites, in units of the cell vectors:
Li 0.000 0.000 0.000
Li 0.000 0.500 0.500
Li 0.500 0.000 0.500
Li 0.500 0.500 0.000
Pa 0.000 0.000 0.500
Pa 0.000 0.500 0.000
Pa 0.500 0.000 0.000
Pa 0.500 0.500 0.500
Tc 0.250 0.250 0.250
Tc 0.250 0.750 0.750
Tc 0.750 0.250 0.750
Tc 0.750 0.750 0.250
Ru 0.250 0.250 0.750
Ru 0.250 0.750 0.250
Ru 0.750 0.250 0.250
Ru 0.750 0.750 0.750

Entry 3:
A plane-wave DFT calculation with PBE-GGA was carried out for a relaxed LiPaTlRu crystal.

Properties
The calculation puts the density of states at the Fermi level at 24.233 states/eV per cell. For the energy of formation, the calculation gives -7 meV per atom.

abc: 6.756 6.756 6.756
angles: 90.00 90.00 90.00
Sites, in units of the cell vectors:
Li 0.000 0.000 0.000
Li 0.000 0.500 0.500
Li 0.500 0.000 0.500
Li 0.500 0.500 0.000
Pa 0.250 0.250 0.750
Pa 0.250 0.750 0.250
Pa 0.750 0.250 0.250
Pa 0.750 0.750 0.750
Tl 0.250 0.250 0.250
Tl 0.250 0.750 0.750
Tl 0.750 0.250 0.750
Tl 0.750 0.750 0.250
Ru 0.000 0.000 0.500
Ru 0.000 0.500 0.000
Ru 0.500 0.000 0.000
Ru 0.500 0.500 0.500

Entry 4:
A plane-wave DFT calculation with PBE-GGA was carried out for a relaxed LiYPaRu crystal.

Properties
The calculation puts the density of states at the Fermi level at 18.542 states/eV per cell. For the energy of formation, the calculation gives -56 meV per atom.

abc: 6.934 6.934 6.934
angles: 90.00 90.00 90.00
Sites, in units of the cell vectors:
Li 0.000 0.000 0.000
Li 0.000 0.500 0.500
Li 0.500 0.000 0.500
Li 0.500 0.500 0.000
Y 0.250 0.250 0.750
Y 0.250 0.750 0.250
Y 0.750 0.250 0.250
Y 0.750 0.750 0.750
Pa 0.250 0.250 0.250
Pa 0.250 0.750 0.750
Pa 0.750 0.250 0.750
Pa 0.750 0.750 0.250
Ru 0.000 0.000 0.500
Ru 0.000 0.500 0.000
Ru 0.500 0.000 0.000
Ru 0.500 0.500 0.500